This record from Alexandria describes a relaxed structure of ZnCd3Sb4. The functional is GGA-PBE.

Values from the calculation:
Raw total energy   -2.529 eV per atom
Energy relative to the elements, uncorrected   0.035 eV per atom

Cell and atoms, written as POSCAR:
```
ZnCd3Sb4
1.0
8.295 0.000 0.000
0.000 6.604 0.000
0.000 0.000 9.004
Zn Cd Sb
2 6 8
Direct
0.989 0.301 0.000
0.489 0.699 0.500
0.488 0.942 0.000
0.976 0.706 0.213
0.476 0.294 0.287
0.988 0.058 0.500
0.476 0.294 0.713
0.976 0.706 0.787
0.146 0.940 0.000
0.670 0.346 0.000
0.135 0.306 0.273
0.635 0.694 0.227
0.170 0.654 0.500
0.646 0.060 0.500
0.635 0.694 0.773
0.135 0.306 0.727
```